Entry 1:
Compound: Ho6Ge2Te3Pb
Source: Alexandria
Functional: PBE-GGA
Structure: optimized geometry

Cell lengths 4.2632, 8.6974, 9.6532 Å; angles 103.37, 102.76, 90.00 degrees
Positions (direct):
1 Ho 0.6747 0.5667 0.3494
2 Ho 0.6678 0.1092 0.3355
3 Ho 0.3253 0.4333 0.6506
4 Ho 0.3322 0.8908 0.6645
5 Ho 0.0102 0.2527 0.0203
6 Ho 0.9898 0.7473 0.9797
7 Te 0.1640 0.8326 0.3280
8 Te 0.8360 0.1674 0.6720
9 Te 0.5000 0.5000 0.0000
10 Ge 0.1679 0.3362 0.3358
11 Ge 0.8321 0.6638 0.6642
12 Pb 0.5000 0.0000 0.0000

Values from the calculation:
* crystal system: monoclinic
* space-group type: C2/m (12)
* energy: -0.192 hartree per atom
* ΔE_f (raw): -1.079 eV per atom

Entry 2:
Compound: Ho4GeTe2Pb
Source: Alexandria
Functional: PBE-GGA
Structure: optimized geometry

Cell lengths 4.2942, 7.5370, 7.5291 Å; angles 70.89, 90.00, 90.00 degrees
Positions (direct):
1 Pb 0.5000 0.5000 0.0000
2 Ho 0.5000 0.7237 0.2697
3 Ho 0.0000 0.7328 0.7431
4 Ho 0.5000 0.2763 0.7303
5 Ho 0.0000 0.2672 0.2569
6 Te 0.5000 0.0000 0.5000
7 Te 0.0000 0.0000 0.0000
8 Ge 0.0000 0.5000 0.5000

Values from the calculation:
* crystal system: monoclinic
* space-group type: P2/m (10)
* energy: -0.189 hartree per atom
* ΔE_f (raw): -1.027 eV per atom

Entry 3:
Compound: Ho8Ge3Te4Pb
Source: Alexandria
Functional: PBE-GGA
Structure: optimized geometry

Cell lengths 8.5488, 8.6389, 8.5489 Å; angles 119.66, 120.00, 90.00 degrees
Positions (direct):
1 Ho 0.7309 0.7252 0.9781
2 Ho 0.2691 0.2748 0.0219
3 Ho 0.2608 0.2823 0.5215
4 Ho 0.7392 0.7177 0.4785
5 Ho 0.7528 0.2748 0.5057
6 Ho 0.2472 0.7252 0.9781
7 Ho 0.2472 0.7252 0.4943
8 Ho 0.7528 0.2748 0.0219
9 Te 0.0000 0.0000 0.0000
10 Te 0.5000 0.0000 0.0000
11 Te 0.5000 0.0000 0.5000
12 Te 0.0000 0.0000 0.5000
13 Ge 0.5000 0.5000 0.5000
14 Ge 0.0000 0.5000 0.5000
15 Ge 0.5000 0.5000 0.0000
16 Pb 0.0000 0.5000 0.0000

Values from the calculation:
* crystal system: trigonal
* space-group type: R-3m (166)
* energy: -0.194 hartree per atom
* ΔE_f (raw): -1.096 eV per atom

Entry 4:
Compound: HoGePd2
Source: Alexandria
Functional: PBE-GGA
Structure: optimized geometry

Cell lengths 4.1863, 3.4207, 5.5204 Å; angles 90.01, 90.00, 90.00 degrees
Positions (direct):
1 Pd 0.0000 0.0001 0.2475
2 Pd 0.0000 0.9999 0.7525
3 Ho 0.5000 0.5000 0.0000
4 Ge 0.5000 0.0000 0.5000

Values from the calculation:
* crystal system: orthorhombic
* space-group type: Pmmm (47)
* ΔH_f (0 K): -0.691 eV per atom
* energy: -0.205 hartree per atom

Entry 5:
Compound: Ho12GePd6
Source: Alexandria
Functional: PBE-GGA
Structure: optimized geometry

Cell lengths 8.2843, 8.2843, 8.2843 Å; angles 100.64, 100.64, 100.64 degrees
Positions (direct):
1 Pd 0.6169 0.3186 0.1377
2 Pd 0.1377 0.6169 0.3186
3 Pd 0.3831 0.6814 0.8623
4 Pd 0.8623 0.3831 0.6814
5 Pd 0.3186 0.1377 0.6169
6 Pd 0.6814 0.8623 0.3831
7 Ge 0.0000 0.0000 0.0000
8 Ho 0.5732 0.1758 0.4138
9 Ho 0.0583 0.6740 0.9183
10 Ho 0.9417 0.3260 0.0817
11 Ho 0.5862 0.4268 0.8242
12 Ho 0.0817 0.9417 0.3260
13 Ho 0.6740 0.9183 0.0583
14 Ho 0.9183 0.0583 0.6740
15 Ho 0.8242 0.5862 0.4268
16 Ho 0.3260 0.0817 0.9417
17 Ho 0.4138 0.5732 0.1758
18 Ho 0.1758 0.4138 0.5732
19 Ho 0.4268 0.8242 0.5862

Values from the calculation:
* crystal system: trigonal
* space-group type: R-3 (148)
* ΔH_f (0 K): -0.525 eV per atom
* energy: -0.195 hartree per atom

Entry 6:
Compound: Ho2GePd6
Source: Alexandria
Functional: PBE-GGA
Structure: optimized geometry

Cell lengths 3.8115, 7.4623, 7.5485 Å; angles 119.62, 104.49, 90.00 degrees
Positions (direct):
1 Ho 0.3487 0.3498 0.6996
2 Ho 0.6513 0.6502 0.3004
3 Pd 0.8347 0.0462 0.6702
4 Pd 0.1653 0.3759 0.3298
5 Pd 0.5000 0.7895 0.0000
6 Pd 0.1653 0.9538 0.3298
7 Pd 0.5000 0.2105 0.0000
8 Pd 0.8347 0.6241 0.6702
9 Ge 0.0000 0.0000 0.0000

Values from the calculation:
* crystal system: monoclinic
* space-group type: C2/m (12)
* ΔH_f (0 K): -0.575 eV per atom
* energy: -0.205 hartree per atom

Entry 7:
Compound: HoGe6Pd12
Source: Alexandria
Functional: PBE-GGA
Structure: optimized geometry

Cell lengths 7.2410, 7.2410, 7.2410 Å; angles 105.99, 105.99, 105.99 degrees
Positions (direct):
1 Pd 0.8776 0.5000 0.1224
2 Pd 0.5000 0.1224 0.8776
3 Pd 0.1603 0.4122 0.4122
4 Pd 0.4122 0.4122 0.1603
5 Pd 0.5000 0.8776 0.1224
6 Pd 0.8397 0.5878 0.5878
7 Pd 0.5878 0.5878 0.8397
8 Pd 0.1224 0.5000 0.8776
9 Pd 0.5878 0.8397 0.5878
10 Pd 0.4122 0.1603 0.4122
11 Pd 0.8776 0.1224 0.5000
12 Pd 0.1224 0.8776 0.5000
13 Ge 0.6967 0.2596 0.2596
14 Ge 0.7404 0.3033 0.7404
15 Ge 0.2596 0.6967 0.2596
16 Ge 0.7404 0.7404 0.3033
17 Ge 0.2596 0.2596 0.6967
18 Ge 0.3033 0.7404 0.7404
19 Ho 0.0000 0.0000 0.0000

Values from the calculation:
* crystal system: trigonal
* space-group type: R-3m (166)
* ΔH_f (0 K): -0.470 eV per atom
* energy: -0.200 hartree per atom

Entry 8:
Compound: Ho4Ge8Pd
Source: Alexandria
Functional: PBE-GGA
Structure: optimized geometry

Cell lengths 3.9785, 4.0785, 16.5640 Å; angles 90.00, 90.00, 90.00 degrees
Positions (direct):
1 Ge 0.0000 0.0000 0.4704
2 Ge 0.0000 0.5000 0.9380
3 Ge 0.5000 0.5000 0.0390
4 Ge 0.5000 0.0000 0.5680
5 Ge 0.0000 0.0000 0.7489
6 Ge 0.5000 0.0000 0.2284
7 Ge 0.5000 0.5000 0.7552
8 Ge 0.0000 0.5000 0.2297
9 Ho 0.0000 0.5000 0.6121
10 Ho 0.5000 0.5000 0.4017
11 Ho 0.5000 0.0000 0.8917
12 Ho 0.0000 0.0000 0.0940
13 Pd 0.0000 0.0000 0.3229

Values from the calculation:
* crystal system: orthorhombic
* space-group type: Pmm2 (25)
* ΔH_f (0 K): -0.636 eV per atom
* energy: -0.194 hartree per atom

Entry 9:
Compound: Ho3Ge4Pd2
Source: Alexandria
Functional: PBE-GGA
Structure: optimized geometry

Cell lengths 4.3430, 5.7696, 8.2608 Å; angles 104.88, 90.00, 112.11 degrees
Positions (direct):
1 Pd 0.3955 0.7909 0.7245
2 Pd 0.6045 0.2091 0.2755
3 Ho 0.6641 0.3282 0.6639
4 Ho 0.0000 0.0000 0.0000
5 Ho 0.3359 0.6718 0.3361
6 Ge 0.0618 0.1235 0.3928
7 Ge 0.9382 0.8765 0.6072
8 Ge 0.7292 0.4583 0.0672
9 Ge 0.2708 0.5417 0.9328

Values from the calculation:
* crystal system: monoclinic
* space-group type: C2/m (12)
* ΔH_f (0 K): -0.839 eV per atom
* energy: -0.205 hartree per atom

Entry 10:
Compound: Ho3Ge3Pd2
Source: Alexandria
Functional: PBE-GGA
Structure: optimized geometry

Cell lengths 4.3223, 5.6817, 14.3432 Å; angles 90.00, 90.00, 112.36 degrees
Positions (direct):
1 Pd 0.7968 0.5936 0.6008
2 Pd 0.7968 0.5936 0.8992
3 Pd 0.2032 0.4064 0.1008
4 Pd 0.2032 0.4064 0.3992
5 Ge 0.6513 0.3027 0.7500
6 Ge 0.3891 0.7782 0.9613
7 Ge 0.3891 0.7782 0.5387
8 Ge 0.6109 0.2218 0.0387
9 Ge 0.3487 0.6973 0.2500
10 Ge 0.6109 0.2218 0.4613
11 Ho 0.0876 0.1752 0.6096
12 Ho 0.3613 0.7226 0.7500
13 Ho 0.9124 0.8248 0.3904
14 Ho 0.6387 0.2774 0.2500
15 Ho 0.0876 0.1752 0.8904
16 Ho 0.9124 0.8248 0.1096

Values from the calculation:
* crystal system: orthorhombic
* space-group type: Cmcm (63)
* ΔH_f (0 K): -0.952 eV per atom
* energy: -0.209 hartree per atom